Record 1
5
Lattice="5.259 0.000 0.000 0.000 5.259 0.000 0.000 0.000 5.152" Properties=species:S:1:pos:R:3 comment="K2InTeH PBE-GGA relaxed" energy_ev_per_cell=-13.59 vol_a3_per_atom=28.50 dos_ef_per_ev_atom=0.023 pbc="T T T"
K 0.000 2.630 0.000
K 2.630 0.000 0.000
In 0.000 0.000 2.576
Te 2.630 2.630 2.576
H 0.000 0.000 0.000

Record 2
5
Lattice="4.751 0.000 0.000 0.000 4.751 0.000 0.000 0.000 6.299" Properties=species:S:1:pos:R:3 comment="KTlInH2 PBE-GGA relaxed" energy_ev_per_cell=-9.69 vol_a3_per_atom=28.43 dos_ef_per_ev_atom=0.686 pbc="T T T"
K 0.000 0.000 0.000
Tl 2.375 2.375 3.150
In 0.000 0.000 3.150
H 0.000 2.375 0.000
H 2.375 0.000 0.000

Record 3
5
Lattice="4.565 0.000 0.000 0.000 4.565 0.000 0.000 0.000 6.290" Properties=species:S:1:pos:R:3 comment="KYInH2 PBE-GGA relaxed" energy_ev_per_cell=-11.90 vol_a3_per_atom=26.22 dos_ef_per_ev_atom=0.855 pbc="T T T"
K 0.000 0.000 0.000
Y 2.283 2.283 0.000
In 0.000 0.000 3.145
H 0.000 2.283 3.145
H 2.283 0.000 3.145

Record 4
10
Lattice="8.253 -1.886 0.000 8.253 1.886 0.000 -0.117 0.000 9.515" Properties=species:S:1:pos:R:3 comment="La3InH PBE-GGA relaxed" vol_a3_per_atom=29.62 dos_ef_per_ev_atom=0.951 relative_energy_ev_per_fu=0.32 pbc="T T T"
La 0.447 0.000 3.007
La 2.165 0.000 9.213
La 5.564 0.000 3.768
La 10.825 0.000 5.746
La 14.224 0.000 0.302
La 15.943 0.000 6.508
In 4.942 0.000 7.184
In 11.447 0.000 2.331
H 1.756 0.000 6.904
H 14.633 0.000 2.610

Record 5
8
Lattice="-2.494 2.494 5.944 2.494 -2.494 5.944 2.494 2.494 -5.944" Properties=species:S:1:pos:R:3 comment="LaInH2 PBE-GGA relaxed" vol_a3_per_atom=18.48 dos_ef_per_ev_atom=0.296 relative_energy_ev_per_fu=0.00 pbc="T T T"
La 0.000 0.000 0.000
La 0.000 2.494 2.972
In 2.494 0.000 2.972
In 0.000 0.000 5.944
H 3.740 1.111 -1.486
H 1.111 1.247 1.486
H -1.247 1.383 4.458
H 1.383 1.247 7.430

Record 6
14
Lattice="6.691 0.000 0.000 0.000 6.691 0.000 0.000 0.000 6.691" Properties=species:S:1:pos:R:3 comment="La3InH3 PBE-GGA relaxed" energy_ev_per_cell=-62.02 vol_a3_per_atom=21.40 dos_ef_per_ev_atom=0.409 pbc="T T T"
La 0.000 1.673 3.346
La 0.000 5.018 3.346
La 1.673 3.346 0.000
La 3.346 0.000 1.673
La 3.346 0.000 5.018
La 5.018 3.346 0.000
In 0.000 0.000 0.000
In 3.346 3.346 3.346
H 0.000 3.346 1.673
H 0.000 3.346 5.018
H 1.673 0.000 3.346
H 3.346 1.673 0.000
H 3.346 5.018 0.000
H 5.018 0.000 3.346

Record 7
6
Lattice="3.929 0.000 0.000 0.000 3.929 0.000 0.000 0.000 8.597" Properties=species:S:1:pos:R:3 comment="LaInH PBE-GGA relaxed" vol_a3_per_atom=22.11 dos_ef_per_ev_atom=0.654 relative_energy_ev_per_fu=0.00 pbc="T T T"
La 0.982 0.982 1.416
La 2.946 2.946 7.181
In 0.982 0.982 4.988
In 2.946 2.946 3.609
H 0.982 2.946 0.000
H 2.946 0.982 0.000

Record 8
4
Lattice="0.000 3.176 3.176 3.176 0.000 3.176 3.176 3.176 0.000" Properties=species:S:1:pos:R:3 comment="LaInH2 PBE-GGA relaxed" vol_a3_per_atom=16.02 dos_ef_per_ev_atom=0.315 relative_energy_ev_per_fu=0.07 pbc="T T T"
La 0.000 0.000 0.000
In 3.176 3.176 3.176
H 1.588 1.588 1.588
H 4.764 4.764 4.764

Record 9
5
Lattice="-2.118 2.118 5.620 2.118 -2.118 5.620 2.118 2.118 -5.620" Properties=species:S:1:pos:R:3 comment="LaIn2H2 PBE-GGA relaxed" energy_ev_per_cell=-17.49 vol_a3_per_atom=20.17 dos_ef_per_ev_atom=0.772 pbc="T T T"
La 0.000 0.000 0.000
In 2.118 0.000 2.810
In 0.000 2.118 2.810
H 0.000 0.000 5.217
H 0.000 0.000 6.023

Record 10
24
Lattice="4.519 0.000 0.000 0.000 17.651 0.000 0.000 0.000 6.681" Properties=species:S:1:pos:R:3 comment="LaInH PBE-GGA relaxed" vol_a3_per_atom=22.20 dos_ef_per_ev_atom=0.607 relative_energy_ev_per_fu=0.12 pbc="T T T"
La 1.130 1.449 0.783
La 1.130 7.377 0.783
La 1.130 11.453 2.444
La 1.130 15.024 2.444
La 3.389 2.628 4.237
La 3.389 6.198 4.237
La 3.389 10.275 5.898
La 3.389 16.202 5.898
In 1.130 0.302 4.224
In 1.130 4.413 5.895
In 1.130 8.523 4.224
In 1.130 13.238 5.553
In 3.389 4.413 1.128
In 3.389 9.128 2.457
In 3.389 13.238 0.786
In 3.389 17.349 2.457
H 1.130 2.119 3.184
H 1.130 6.707 3.184
H 1.130 9.849 0.330
H 1.130 16.628 0.330
H 3.389 1.023 6.351
H 3.389 7.803 6.351
H 3.389 10.944 3.497
H 3.389 15.532 3.497

Record 11
18
Lattice="6.675 0.000 0.000 0.000 9.629 0.000 -5.157 0.000 8.616" Properties=species:S:1:pos:R:3 comment="La6In2H PBE-GGA relaxed" energy_ev_per_cell=-82.15 vol_a3_per_atom=30.77 dos_ef_per_ev_atom=1.037 pbc="T T T"
La -1.713 1.313 4.139
La -4.292 3.501 8.447
La 1.169 0.421 1.735
La -1.410 4.394 6.043
La -0.066 7.146 3.833
La -2.644 7.298 8.141
La 4.163 2.331 0.475
La 1.584 2.483 4.783
La 2.928 5.236 2.573
La 0.350 9.208 6.881
La 5.810 6.128 0.169
La 3.232 8.316 4.477
In -3.056 0.811 7.064
In -0.477 4.004 2.756
In 1.996 5.625 5.860
In 4.574 8.819 1.552
H 0.759 0.000 4.308
H 3.338 4.815 0.000

Record 12
10
Lattice="6.664 0.000 0.000 0.000 6.664 0.000 0.000 0.000 4.681" Properties=species:S:1:pos:R:3 comment="LaIn2H2 PBE-GGA relaxed" energy_ev_per_cell=-36.52 vol_a3_per_atom=20.79 dos_ef_per_ev_atom=0.273 pbc="T T T"
La 0.000 0.000 0.000
La 3.332 3.332 0.000
In 1.641 1.691 2.340
In 1.691 5.023 2.340
In 4.973 1.641 2.340
In 5.023 4.973 2.340
H 1.654 1.678 0.000
H 1.678 5.010 0.000
H 4.986 1.654 0.000
H 5.010 4.986 0.000

| no. | total magnetic moment (μB per cell) |
| --- | --- |
| 1 | 0.0 |
| 2 | 0.0 |
| 3 | 0.0 |
| 4 | 0.0 |
| 5 | 0.0 |
| 6 | 1.7 |
| 7 | 0.0 |
| 8 | 0.0 |
| 9 | 0.0 |
| 10 | 0.0 |
| 11 | 0.0 |
| 12 | 0.0 |